Na2PmFeO4, optimized geometry, DFT GGA+U; final energy = -6.142 eV per atom; SG = Imma, No. 74; DOS at the Fermi energy = 0.0000 states/eV per atom
1.0
-3.2277 3.4687 4.6761
3.2277 -3.4687 4.6761
3.2277 3.4687 -4.6761
Na Pm Fe O
4 2 2 8
Direct
0.0000 0.0000 0.0000 Na
0.5000 0.0000 0.0000 Na
0.5000 0.0000 0.5000 Na
0.5000 0.5000 0.5000 Na
0.0000 0.5000 0.5000 Pm
0.5000 0.5000 0.0000 Pm
0.0000 0.0000 0.5000 Fe
0.0000 0.5000 0.0000 Fe
0.2044 0.7486 0.4558 O
0.2072 0.2514 0.9558 O
0.2279 0.2382 0.5103 O
0.2279 0.7176 0.9897 O
0.7721 0.2824 0.0103 O
0.7721 0.7618 0.4897 O
0.7928 0.7486 0.0442 O
0.7956 0.2514 0.5442 O